5
Lattice="-1.551 1.163 -4.061 -4.191 0.116 1.634 -2.209 6.102 0.097" Properties=species:S:1:pos:R:3 comment="NaIn2Pt2, optimized geometry, DFT PBE" formation_enthalpy_0k_kj_per_mol_atoms=-35.9 polymorph_energy_mev_per_atom=94 spacegroup=I4/mmm total_magnetization_mub_per_fu=0.00 pbc="T T T"
Pt -5.231 5.498 -1.415
Pt -2.721 1.882 -0.915
In -4.636 3.428 0.259
In -3.316 3.952 -2.589
Na 0.000 0.000 0.000